1.
# Si3Mo GGA-PBE optimized geometry
data_Si3Mo
_chemical_formula_sum 'Si3 Mo1'
_cell_length_a 4.6705
_cell_length_b 4.6705
_cell_length_c 4.2638
_cell_angle_alpha 85.87
_cell_angle_beta 85.87
_cell_angle_gamma 37.66
_space_group_name_H-M_alt 'P 1'
_space_group_IT_number 1
loop_
_space_group_symop_operation_xyz
'x,y,z'
loop_
_atom_site_label
_atom_site_type_symbol
_atom_site_fract_x
_atom_site_fract_y
_atom_site_fract_z
Mo1 Mo 0.0000 0.0000 0.0000
Si1 Si 0.5000 0.5000 0.5000
Si2 Si 0.2612 0.2612 0.2412
Si3 Si 0.7388 0.7388 0.7588
# - symmetry = C2/m
# - ρ (g/cm3) = 5.28
# - E_form (uncorrected) (eV/atom) = 0.06
# - total moment (μB/atom) = 0.000

---

2.
# Si5Mo3 GGA-PBE optimized geometry
data_Si5Mo3
_chemical_formula_sum 'Si10 Mo6'
_cell_length_a 6.8236
_cell_length_b 6.8293
_cell_length_c 7.0299
_cell_angle_alpha 102.38
_cell_angle_beta 102.34
_cell_angle_gamma 124.00
_space_group_name_H-M_alt 'P 1'
_space_group_IT_number 1
loop_
_space_group_symop_operation_xyz
'x,y,z'
loop_
_atom_site_label
_atom_site_type_symbol
_atom_site_fract_x
_atom_site_fract_y
_atom_site_fract_z
Mo1 Mo 0.8083 0.8157 0.9983
Mo2 Mo 0.3100 0.3174 0.0017
Mo3 Mo 0.1294 0.0547 0.5000
Mo4 Mo 0.5558 0.6599 0.5000
Mo5 Mo 0.0362 0.5449 0.8972
Mo6 Mo 0.6390 0.1478 0.1028
Si1 Si 0.2941 0.8033 0.5000
Si2 Si 0.8401 0.2172 0.5000
Si3 Si 0.8067 0.0846 0.8159
Si4 Si 0.2695 0.0166 0.2001
Si5 Si 0.7888 0.5911 0.2498
Si6 Si 0.3289 0.5309 0.7414
Si7 Si 0.5694 0.3165 0.7999
Si8 Si 0.4908 0.7687 0.1841
Si9 Si 0.0875 0.2895 0.2586
Si10 Si 0.0390 0.8413 0.7502
# - symmetry = Cm
# - ρ (g/cm3) = 5.88
# - E_form (uncorrected) (eV/atom) = -0.11
# - total moment (μB/atom) = 0.000

---

3.
# SiMo3 GGA-PBE optimized geometry
data_SiMo3
_chemical_formula_sum 'Si2 Mo6'
_cell_length_a 5.4233
_cell_length_b 5.4233
_cell_length_c 4.7194
_cell_angle_alpha 90.00
_cell_angle_beta 90.00
_cell_angle_gamma 120.00
_space_group_name_H-M_alt 'P 1'
_space_group_IT_number 1
loop_
_space_group_symop_operation_xyz
'x,y,z'
loop_
_atom_site_label
_atom_site_type_symbol
_atom_site_fract_x
_atom_site_fract_y
_atom_site_fract_z
Si1 Si 0.3333 0.6667 0.2500
Si2 Si 0.6667 0.3333 0.7500
Mo1 Mo 0.8324 0.6647 0.2500
Mo2 Mo 0.3353 0.1676 0.2500
Mo3 Mo 0.8324 0.1676 0.2500
Mo4 Mo 0.1676 0.3353 0.7500
Mo5 Mo 0.6647 0.8324 0.7500
Mo6 Mo 0.1676 0.8324 0.7500
# - symmetry = P6_3/mmc
# - ρ (g/cm3) = 8.73
# - E_form (uncorrected) (eV/atom) = -0.09
# - total moment (μB/atom) = 0.000

---

4.
# SiMo GGA-PBE optimized geometry
data_SiMo
_chemical_formula_sum 'Si3 Mo3'
_cell_length_a 4.7833
_cell_length_b 4.7833
_cell_length_c 6.1225
_cell_angle_alpha 77.43
_cell_angle_beta 77.43
_cell_angle_gamma 39.71
_space_group_name_H-M_alt 'P 1'
_space_group_IT_number 1
loop_
_space_group_symop_operation_xyz
'x,y,z'
loop_
_atom_site_label
_atom_site_type_symbol
_atom_site_fract_x
_atom_site_fract_y
_atom_site_fract_z
Si1 Si 0.3196 0.3196 0.3653
Si2 Si 0.9895 0.9895 0.5643
Si3 Si 0.2592 0.2592 0.9631
Mo1 Mo 0.9612 0.9612 0.9841
Mo2 Mo 0.6882 0.6882 0.7037
Mo3 Mo 0.6156 0.6156 0.2530
# - symmetry = Cm
# - ρ (g/cm3) = 7.10
# - E_form (uncorrected) (eV/atom) = -0.35
# - total moment (μB/atom) = 0.000

---

5.
# SiMo GGA-PBE optimized geometry
data_SiMo
_chemical_formula_sum 'Si8 Mo8'
_cell_length_a 7.6898
_cell_length_b 7.6898
_cell_length_c 7.6898
_cell_angle_alpha 90.00
_cell_angle_beta 90.00
_cell_angle_gamma 90.00
_space_group_name_H-M_alt 'P 1'
_space_group_IT_number 1
loop_
_space_group_symop_operation_xyz
'x,y,z'
loop_
_atom_site_label
_atom_site_type_symbol
_atom_site_fract_x
_atom_site_fract_y
_atom_site_fract_z
Si1 Si 0.1905 0.1905 0.1905
Si2 Si 0.1905 0.8095 0.8095
Si3 Si 0.8095 0.1905 0.8095
Si4 Si 0.8095 0.8095 0.1905
Si5 Si 0.6905 0.6905 0.6905
Si6 Si 0.6905 0.3095 0.3095
Si7 Si 0.3095 0.6905 0.3095
Si8 Si 0.3095 0.3095 0.6905
Mo1 Mo 0.3777 0.3777 0.3777
Mo2 Mo 0.3777 0.6223 0.6223
Mo3 Mo 0.6223 0.3777 0.6223
Mo4 Mo 0.6223 0.6223 0.3777
Mo5 Mo 0.8777 0.8777 0.8777
Mo6 Mo 0.8777 0.1223 0.1223
Mo7 Mo 0.1223 0.8777 0.1223
Mo8 Mo 0.1223 0.1223 0.8777
# - symmetry = I-43m
# - ρ (g/cm3) = 3.62
# - E_form (uncorrected) (eV/atom) = 1.03
# - total moment (μB/atom) = 0.000

---

6.
# Si2Mo GGA-PBE optimized geometry
data_Si2Mo
_chemical_formula_sum 'Si4 Mo2'
_cell_length_a 4.8307
_cell_length_b 4.8307
_cell_length_c 4.8307
_cell_angle_alpha 60.00
_cell_angle_beta 60.00
_cell_angle_gamma 60.00
_space_group_name_H-M_alt 'P 1'
_space_group_IT_number 1
loop_
_space_group_symop_operation_xyz
'x,y,z'
loop_
_atom_site_label
_atom_site_type_symbol
_atom_site_fract_x
_atom_site_fract_y
_atom_site_fract_z
Si1 Si 0.6250 0.1250 0.1250
Si2 Si 0.1250 0.6250 0.1250
Si3 Si 0.1250 0.1250 0.6250
Si4 Si 0.1250 0.1250 0.1250
Mo1 Mo 0.5000 0.5000 0.5000
Mo2 Mo 0.7500 0.7500 0.7500
# - symmetry = Fd-3m
# - ρ (g/cm3) = 6.34
# - E_form (uncorrected) (eV/atom) = 0.34
# - total moment (μB/atom) = 0.000

---

7.
# SmSi2Mo4 GGA-PBE optimized geometry
data_SmSi2Mo4
_chemical_formula_sum 'Sm1 Si2 Mo4'
_cell_length_a 4.3873
_cell_length_b 4.4297
_cell_length_c 6.9261
_cell_angle_alpha 108.65
_cell_angle_beta 90.00
_cell_angle_gamma 90.00
_space_group_name_H-M_alt 'P 1'
_space_group_IT_number 1
loop_
_space_group_symop_operation_xyz
'x,y,z'
loop_
_atom_site_label
_atom_site_type_symbol
_atom_site_fract_x
_atom_site_fract_y
_atom_site_fract_z
Sm1 Sm 0.0000 0.0000 0.0000
Si1 Si 0.5000 0.5949 0.1898
Si2 Si 0.5000 0.4051 0.8102
Mo1 Mo 0.5000 0.8071 0.6142
Mo2 Mo 0.0000 0.6967 0.3933
Mo3 Mo 0.5000 0.1929 0.3858
Mo4 Mo 0.0000 0.3033 0.6067
# - symmetry = Cmmm
# - ρ (g/cm3) = 7.69
# - E_form (uncorrected) (eV/atom) = -0.20
# - total moment (μB/atom) = 0.000

---

8.
# SmSi2Mo GGA-PBE optimized geometry
data_SmSi2Mo
_chemical_formula_sum 'Sm1 Si2 Mo1'
_cell_length_a 4.1989
_cell_length_b 4.1989
_cell_length_c 5.6162
_cell_angle_alpha 68.05
_cell_angle_beta 68.05
_cell_angle_gamma 60.00
_space_group_name_H-M_alt 'P 1'
_space_group_IT_number 1
loop_
_space_group_symop_operation_xyz
'x,y,z'
loop_
_atom_site_label
_atom_site_type_symbol
_atom_site_fract_x
_atom_site_fract_y
_atom_site_fract_z
Mo1 Mo 0.0000 0.0000 0.0000
Si1 Si 0.7142 0.7142 0.8575
Si2 Si 0.2858 0.2858 0.1425
Sm1 Sm 0.5000 0.5000 0.5000
# - symmetry = R-3m
# - ρ (g/cm3) = 6.49
# - E_form (uncorrected) (eV/atom) = -0.37
# - total moment (μB/atom) = 0.000

---

9.
# Si2SnMo2 GGA-PBE optimized geometry
data_Si2SnMo2
_chemical_formula_sum 'Si4 Sn2 Mo4'
_cell_length_a 7.1581
_cell_length_b 7.1581
_cell_length_c 3.2070
_cell_angle_alpha 90.00
_cell_angle_beta 90.00
_cell_angle_gamma 90.00
_space_group_name_H-M_alt 'P 1'
_space_group_IT_number 1
loop_
_space_group_symop_operation_xyz
'x,y,z'
loop_
_atom_site_label
_atom_site_type_symbol
_atom_site_fract_x
_atom_site_fract_y
_atom_site_fract_z
Mo1 Mo 0.3500 0.8500 0.0000
Mo2 Mo 0.8500 0.6500 0.0000
Mo3 Mo 0.6500 0.1500 0.0000
Mo4 Mo 0.1500 0.3500 0.0000
Si1 Si 0.1375 0.6375 0.5000
Si2 Si 0.6375 0.8625 0.5000
Si3 Si 0.8625 0.3625 0.5000
Si4 Si 0.3625 0.1375 0.5000
Sn1 Sn 0.0000 0.0000 0.0000
Sn2 Sn 0.5000 0.5000 0.0000
# - symmetry = P4/mbm
# - ρ (g/cm3) = 7.41
# - E_form (uncorrected) (eV/atom) = 0.01
# - total moment (μB/atom) = 0.000

---

10.
# Si2SnMo2 GGA-PBE optimized geometry
data_Si2SnMo2
_chemical_formula_sum 'Si2 Sn1 Mo2'
_cell_length_a 3.4743
_cell_length_b 3.4743
_cell_length_c 7.2282
_cell_angle_alpha 76.09
_cell_angle_beta 76.09
_cell_angle_gamma 90.00
_space_group_name_H-M_alt 'P 1'
_space_group_IT_number 1
loop_
_space_group_symop_operation_xyz
'x,y,z'
loop_
_atom_site_label
_atom_site_type_symbol
_atom_site_fract_x
_atom_site_fract_y
_atom_site_fract_z
Mo1 Mo 0.3872 0.3872 0.2255
Mo2 Mo 0.6128 0.6128 0.7745
Si1 Si 0.7500 0.2500 0.5000
Si2 Si 0.2500 0.7500 0.5000
Sn1 Sn 0.0000 0.0000 0.0000
# - symmetry = I4/mmm
# - ρ (g/cm3) = 7.42
# - E_form (uncorrected) (eV/atom) = -0.15
# - total moment (μB/atom) = 0.000

---

11.
# Si3SnMo GGA-PBE optimized geometry
data_Si3SnMo
_chemical_formula_sum 'Si3 Sn1 Mo1'
_cell_length_a 4.9419
_cell_length_b 4.9419
_cell_length_c 4.9419
_cell_angle_alpha 90.00
_cell_angle_beta 90.00
_cell_angle_gamma 90.00
_space_group_name_H-M_alt 'P 1'
_space_group_IT_number 1
loop_
_space_group_symop_operation_xyz
'x,y,z'
loop_
_atom_site_label
_atom_site_type_symbol
_atom_site_fract_x
_atom_site_fract_y
_atom_site_fract_z
Mo1 Mo 0.5000 0.5000 0.5000
Si1 Si 0.0000 0.5000 0.0000
Si2 Si 0.0000 0.0000 0.5000
Si3 Si 0.5000 0.0000 0.0000
Sn1 Sn 0.0000 0.0000 0.0000
# - symmetry = Pm-3m
# - ρ (g/cm3) = 4.11
# - E_form (uncorrected) (eV/atom) = 2.09
# - total moment (μB/atom) = 0.000

---

12.
# SiSn3Mo GGA-PBE optimized geometry
data_SiSn3Mo
_chemical_formula_sum 'Si1 Sn3 Mo1'
_cell_length_a 5.2492
_cell_length_b 5.2492
_cell_length_c 5.2492
_cell_angle_alpha 90.00
_cell_angle_beta 90.00
_cell_angle_gamma 90.00
_space_group_name_H-M_alt 'P 1'
_space_group_IT_number 1
loop_
_space_group_symop_operation_xyz
'x,y,z'
loop_
_atom_site_label
_atom_site_type_symbol
_atom_site_fract_x
_atom_site_fract_y
_atom_site_fract_z
Mo1 Mo 0.0000 0.0000 0.0000
Si1 Si 0.5000 0.5000 0.5000
Sn1 Sn 0.0000 0.5000 0.0000
Sn2 Sn 0.0000 0.0000 0.5000
Sn3 Sn 0.5000 0.0000 0.0000
# - symmetry = Pm-3m
# - ρ (g/cm3) = 5.51
# - E_form (uncorrected) (eV/atom) = 0.78
# - total moment (μB/atom) = 0.366

---

What did the twelfth record say?
# SiSn3Mo GGA-PBE optimized geometry
data_SiSn3Mo
_chemical_formula_sum 'Si1 Sn3 Mo1'
_cell_length_a 5.2492
_cell_length_b 5.2492
_cell_length_c 5.2492
_cell_angle_alpha 90.00
_cell_angle_beta 90.00
_cell_angle_gamma 90.00
_space_group_name_H-M_alt 'P 1'
_space_group_IT_number 1
loop_
_space_group_symop_operation_xyz
'x,y,z'
loop_
_atom_site_label
_atom_site_type_symbol
_atom_site_fract_x
_atom_site_fract_y
_atom_site_fract_z
Mo1 Mo 0.0000 0.0000 0.0000
Si1 Si 0.5000 0.5000 0.5000
Sn1 Sn 0.0000 0.5000 0.0000
Sn2 Sn 0.0000 0.0000 0.5000
Sn3 Sn 0.5000 0.0000 0.0000
# - symmetry = Pm-3m
# - ρ (g/cm3) = 5.51
# - E_form (uncorrected) (eV/atom) = 0.78
# - total moment (μB/atom) = 0.366

---

- What is the formula in the eighth record?
  SmSi2Mo

---

- ρ of number 9 (Si2SnMo2)?
  7.41 g/cm3